1.
The following is a PBE-GGA calculation of crystalline Mg4TcRh5 at its relaxed geometry, from Alexandria.

V	148.9	Å³ per cell
energy of formation from the pure elements	-0.35	eV/atom
total magnetic moment	0.00	Bohr magnetons per cell
VASP energy	-57.03	eV per cell

Cell and atoms, written as POSCAR:
```
Mg4TcRh5
1.0
3.002 0.000 0.000
0.000 3.002 0.000
0.000 0.000 16.523
Mg Tc Rh
4 1 5
direct
0.000 0.000 0.098
0.000 0.000 0.294
0.000 0.000 0.706
0.000 0.000 0.902
0.000 0.000 0.500
0.500 0.500 0.000
0.500 0.500 0.197
0.500 0.500 0.399
0.500 0.500 0.601
0.500 0.500 0.803
```

---

2.
The following is a PBE-GGA calculation of crystalline MgTcRh2 at its relaxed geometry, from Alexandria.

V	59.2	Å³ per cell
energy of formation from the pure elements	-0.11	eV/atom
total magnetic moment	1.38	Bohr magnetons per cell
VASP energy	-27.09	eV per cell

Cell and atoms, written as POSCAR:
```
MgTcRh2
1.0
-2.004 2.004 3.689
2.004 -2.004 3.689
2.004 2.004 -3.689
Mg Tc Rh
1 1 2
direct
0.000 0.000 0.000
0.500 0.500 0.000
0.250 0.750 0.500
0.750 0.250 0.500
```

---

3.
The following is a PBE-GGA calculation of crystalline Mg2TcRh at its relaxed geometry, from Alexandria.

V	63.5	Å³ per cell
energy of formation from the pure elements	0.08	eV/atom
offset from the most stable computed form	0.182	eV per atom
total magnetic moment	0.94	Bohr magnetons per cell
VASP energy	-20.58	eV per cell

Cell and atoms, written as POSCAR:
```
Mg2TcRh
1.0
2.990 0.000 0.000
0.000 4.492 0.000
0.000 0.000 4.730
Mg Tc Rh
2 1 1
direct
0.000 0.000 0.000
0.500 0.000 0.500
0.000 0.500 0.500
0.500 0.500 0.000
```

---

4.
The following is a PBE-GGA calculation of crystalline MgTcRh at its relaxed geometry, from Alexandria.

V	90.8	Å³ per cell
energy of formation from the pure elements	-0.16	eV/atom
offset from the most stable computed form	0.017	eV per atom
total magnetic moment	0.00	Bohr magnetons per cell
VASP energy	-39.56	eV per cell

Cell and atoms, written as POSCAR:
```
MgTcRh
1.0
3.056 0.000 0.000
0.000 3.056 0.000
0.000 0.000 9.718
Mg Tc Rh
2 2 2
direct
0.000 0.000 0.000
0.000 0.000 0.322
0.000 0.000 0.669
0.500 0.500 0.813
0.500 0.500 0.157
0.500 0.500 0.491
```